No. 1
First-principles (GGA-PBE) data for a relaxed structure of Ac2TbRu3O12, as listed in Alexandria.

Summary:
For the formation energy (no corrections), the calculation gives -1871 meV per atom. The calculation puts the final energy at -7.436 eV/atom. The density comes out at 7.63 g/cm3. As for the spin magnetization: 0.344 μB/atom. Its density of states at the Fermi level is 11.6 states/eV/cell.

a = 6.7683 Å, b = 6.7683 Å, c = 6.7683 Å
α = 64.58°, β = 64.58°, γ = 64.58°
Closest atoms and distances in Å follow each position.
Element x y z (fractional)
1 Ac 0.1156 0.1156 0.1156  3 O 2.36
2 Ac 0.8844 0.8844 0.8844  3 O 2.36
3 Tb 0.5000 0.5000 0.5000  12 O 2.54-2.76
4 Ru 0.0000 0.5000 0.5000  6 O 1.93-1.97
5 Ru 0.5000 0.0000 0.5000  6 O 1.93-1.97
6 Ru 0.5000 0.5000 0.0000  6 O 1.93-1.97
7 O 0.0655 0.6455 0.6455  1 Ru 1.93
8 O 0.2292 0.2292 0.6283  2 Ru 1.97
9 O 0.2292 0.6283 0.2292  2 Ru 1.97
10 O 0.3545 0.3545 0.9345  1 Ru 1.93
11 O 0.3545 0.9345 0.3545  1 Ru 1.93
12 O 0.3717 0.7708 0.7708  2 Ru 1.97
13 O 0.6283 0.2292 0.2292  2 Ru 1.97
14 O 0.6455 0.0655 0.6455  1 Ru 1.93
15 O 0.6455 0.6455 0.0655  1 Ru 1.93
16 O 0.7708 0.3717 0.7708  2 Ru 1.97
17 O 0.7708 0.7708 0.3717  2 Ru 1.97
18 O 0.9345 0.3545 0.3545  1 Ru 1.93

=====

No. 2
First-principles (GGA-PBE) data for a relaxed structure of AcTcRuO6, as listed in Alexandria.

Summary:
For the formation energy (no corrections), the calculation gives -1621 meV per atom. The calculation puts the final energy at -7.565 eV/atom. The density comes out at 7.73 g/cm3. As for the spin magnetization: 0.000 μB/atom. Its density of states at the Fermi level is 4.6 states/eV/cell.

a = 5.6436 Å, b = 5.6436 Å, c = 8.1276 Å
α = 90.00°, β = 90.00°, γ = 120.00°
Closest atoms and distances in Å follow each position.
Element x y z (fractional)
1 Ac 0.3333 0.6667 0.2500  6 O 2.52
2 Ac 0.6667 0.3333 0.7500  6 O 2.52
3 Tc 0.3333 0.6667 0.7500  6 O 1.94
4 Tc 0.6667 0.3333 0.2500  6 O 1.94
5 Ru 0.0000 0.0000 0.0000  6 O 2.07
6 Ru 0.0000 0.0000 0.5000  6 O 2.07
7 O 0.0803 0.3624 0.6128  1 Tc 1.94, 1 Ru 2.07
8 O 0.0803 0.7179 0.8872  1 Tc 1.94, 1 Ru 2.07
9 O 0.2821 0.3624 0.8872  1 Tc 1.94, 1 Ru 2.07
10 O 0.2821 0.9197 0.6128  1 Tc 1.94, 1 Ru 2.07
11 O 0.3624 0.0803 0.1128  1 Tc 1.94, 1 Ru 2.07
12 O 0.3624 0.2821 0.3872  1 Tc 1.94, 1 Ru 2.07
13 O 0.6376 0.7179 0.6128  1 Tc 1.94, 1 Ru 2.07
14 O 0.6376 0.9197 0.8872  1 Tc 1.94, 1 Ru 2.07
15 O 0.7179 0.0803 0.3872  1 Tc 1.94, 1 Ru 2.07
16 O 0.7179 0.6376 0.1128  1 Tc 1.94, 1 Ru 2.07
17 O 0.9197 0.2821 0.1128  1 Tc 1.94, 1 Ru 2.07
18 O 0.9197 0.6376 0.3872  1 Tc 1.94, 1 Ru 2.07

=====

No. 3
First-principles (GGA-PBE) data for a relaxed structure of Ac2TiRuO6, as listed in Alexandria.

Summary:
For the formation energy (no corrections), the calculation gives -2675 meV per atom. The calculation puts the final energy at -8.189 eV/atom. The density comes out at 8.84 g/cm3. As for the spin magnetization: 0.000 μB/atom.

a = 9.7809 Å, b = 9.7809 Å, c = 9.7809 Å
α = 34.12°, β = 34.12°, γ = 34.12°
Closest atoms and distances in Å follow each position.
Element x y z (fractional)
1 Ac 0.1278 0.1278 0.1278  12 O 2.71-2.87
2 Ac 0.2844 0.2844 0.2844  9 O 2.67-2.88
3 Ac 0.7156 0.7156 0.7156  9 O 2.67-2.88
4 Ac 0.8722 0.8722 0.8722  12 O 2.71-2.87
5 Ti 0.0000 0.0000 0.0000  6 O 1.96
6 Ti 0.5000 0.5000 0.5000  6 O 2.04
7 Ru 0.4138 0.4138 0.4138  6 O 2.04-2.13
8 Ru 0.5862 0.5862 0.5862  6 O 2.04-2.13
9 O 0.1148 0.6321 0.6321  1 Ti 2.04, 1 Ru 2.13
10 O 0.2011 0.2011 0.7219  1 Ti 1.96, 1 Ru 2.04
11 O 0.2011 0.7219 0.2011  1 Ti 1.96, 1 Ru 2.04
12 O 0.2781 0.7989 0.7989  1 Ti 1.96, 1 Ru 2.04
13 O 0.3679 0.3679 0.8852  1 Ti 2.04, 1 Ru 2.13
14 O 0.3679 0.8852 0.3679  1 Ti 2.04, 1 Ru 2.13
15 O 0.6321 0.1148 0.6321  1 Ti 2.04, 1 Ru 2.13
16 O 0.6321 0.6321 0.1148  1 Ti 2.04, 1 Ru 2.13
17 O 0.7219 0.2011 0.2011  1 Ti 1.96, 1 Ru 2.04
18 O 0.7989 0.2781 0.7989  1 Ti 1.96, 1 Ru 2.04
19 O 0.7989 0.7989 0.2781  1 Ti 1.96, 1 Ru 2.04
20 O 0.8852 0.3679 0.3679  1 Ti 2.04, 1 Ru 2.13

=====

No. 4
First-principles (GGA-PBE) data for a relaxed structure of AcTi2RuO8, as listed in Alexandria.

Summary:
For the formation energy (no corrections), the calculation gives -2400 meV per atom. The calculation puts the final energy at -8.136 eV/atom. The density comes out at 5.47 g/cm3. As for the spin magnetization: 0.130 μB/atom. Its density of states at the Fermi level is 4.3 states/eV/cell.

a = 5.0063 Å, b = 5.0069 Å, c = 6.9184 Å
α = 82.21°, β = 82.24°, γ = 79.00°
Closest atoms and distances in Å follow each position.
Element x y z (fractional)
1 Ac 0.0000 0.0000 0.0000  6 O 2.48-2.60
2 Ti 0.4421 0.4417 0.2300  4 O 1.85-1.90
3 Ti 0.5579 0.5583 0.7700  4 O 1.85-1.90
4 Ru 0.0000 0.0000 0.5000  6 O 1.86-2.03
5 O 0.2190 0.7691 0.2944  1 Ti 1.87, 1 Ru 2.03
6 O 0.2289 0.7788 0.7060  1 Ti 1.87, 1 Ru 2.03
7 O 0.2455 0.2426 0.4373  1 Ru 1.86, 1 Ti 1.90
8 O 0.3354 0.3332 0.0117  1 Ti 1.85
9 O 0.6646 0.6668 0.9883  1 Ti 1.85
10 O 0.7545 0.7574 0.5627  1 Ru 1.86, 1 Ti 1.90
11 O 0.7711 0.2212 0.2940  1 Ti 1.87, 1 Ru 2.03
12 O 0.7810 0.2309 0.7056  1 Ti 1.87, 1 Ru 2.03

=====

No. 5
First-principles (GGA-PBE) data for a relaxed structure of Ac2Tl2RuO6, as listed in Alexandria.

Summary:
For the formation energy (no corrections), the calculation gives -1766 meV per atom. The calculation puts the final energy at -6.491 eV/atom. The density comes out at 8.07 g/cm3. As for the spin magnetization: 0.182 μB/atom. Its density of states at the Fermi level is 5.6 states/eV/cell.

a = 6.2233 Å, b = 6.2233 Å, c = 6.6480 Å
α = 97.18°, β = 97.18°, γ = 119.04°
Closest atoms and distances in Å follow each position.
Element x y z (fractional)
1 Ac 0.1633 0.8367 0.0000  6 O 2.48-2.61
2 Ac 0.8367 0.1633 0.0000  6 O 2.48-2.61
3 Tl 0.3453 0.6547 0.5000  4 O 2.71-2.80
4 Tl 0.6547 0.3453 0.5000  4 O 2.71-2.80
5 Ru 0.5000 0.5000 0.0000  6 O 2.06-2.12
6 O 0.1708 0.4585 0.8405  1 Ru 2.06
7 O 0.2824 0.2824 0.1963  1 Ru 2.12
8 O 0.4585 0.1708 0.8405  1 Ru 2.06
9 O 0.5415 0.8292 0.1595  1 Ru 2.06
10 O 0.7176 0.7176 0.8037  1 Ru 2.12
11 O 0.8292 0.5415 0.1595  1 Ru 2.06

=====

No. 6
First-principles (GGA-PBE) data for a relaxed structure of Ac2TlRuO8, as listed in Alexandria.

Summary:
For the formation energy (no corrections), the calculation gives -1774 meV per atom. The calculation puts the final energy at -6.734 eV/atom. The density comes out at 7.87 g/cm3. As for the spin magnetization: 0.087 μB/atom. Its density of states at the Fermi level is 3.6 states/eV/cell.

a = 4.7582 Å, b = 5.1949 Å, c = 7.6479 Å
α = 90.28°, β = 96.37°, γ = 94.24°
Closest atoms and distances in Å follow each position.
Element x y z (fractional)
1 Ac 0.1239 0.0110 0.2731  7 O 2.52-2.79
2 Ac 0.8761 0.9890 0.7269  7 O 2.52-2.79
3 Tl 0.5000 0.5000 0.0000  2 O 2.04
4 Ru 0.5000 0.5000 0.5000  6 O 1.84-1.97
5 O 0.2015 0.2841 0.5592  1 Ru 1.84
6 O 0.2304 0.1758 0.9728  1 Tl 2.04
7 O 0.2826 0.5566 0.2703  1 Ru 1.97
8 O 0.3533 0.7943 0.6086  1 Ru 1.95
9 O 0.6467 0.2057 0.3914  1 Ru 1.95
10 O 0.7174 0.4434 0.7297  1 Ru 1.97
11 O 0.7696 0.8242 0.0272  1 Tl 2.04
12 O 0.7985 0.7159 0.4408  1 Ru 1.84